No. 1
Density functional theory data (PBE) for crystalline Sc2Sb2Cl at its relaxed geometry.

Its uncorrected formation energy is -0.46 eV per atom.

```
Sc2Sb2Cl
1.0
4.406 0.000 0.000
0.000 4.406 0.000
2.203 2.203 7.163
Sb Cl Sc
2 1 2
Cartesian
2.203 4.406 3.581
4.406 2.203 3.581
0.000 0.000 0.000
2.203 2.203 1.609
4.406 4.406 5.554
```

No. 2
Density functional theory data (PBE) for crystalline Er3Be at its relaxed geometry.

```
Er3Be
1.0
3.584 0.000 0.000
0.000 3.403 0.000
0.000 0.000 8.907
Er Be
3 1
Cartesian
0.000 1.702 4.144
1.792 1.702 1.167
1.792 0.000 6.637
0.000 0.000 8.835
```

no.,offset from the most stable computed form (meV per atom)
1,474.7
2,247.4